*i*
# PBE TaTe2W, relaxed
# Magnetization = 15.32 μB/cell
# Mass density = 8.54 g cm⁻³
data_TaTe2W
_space_group_name_H-M_alt 'I -4 2 d'
_space_group_IT_number 122
_space_group_name_Hall 'I -4 2bw'
_cell_length_a 6.244
_cell_length_b 6.244
_cell_length_c 12.365
_cell_angle_alpha 90.00
_cell_angle_beta 90.00
_cell_angle_gamma 90.00
loop_
_atom_site_label
_atom_site_type_symbol
_atom_site_fract_x
_atom_site_fract_y
_atom_site_fract_z
Ta1 Ta 0.000 0.000 0.000
Te1 Te 0.242 0.250 0.625
W1 W 0.000 0.000 0.500

*ii*
# PBE TaTe2W, relaxed
# Magnetization = 0.00 μB/cell
# Mass density = 9.31 g cm⁻³
data_TaTe2W
_space_group_name_H-M_alt 'P m m 2'
_space_group_IT_number 25
_cell_length_a 3.703
_cell_length_b 4.101
_cell_length_c 7.282
_cell_angle_alpha 90.00
_cell_angle_beta 90.00
_cell_angle_gamma 90.00
loop_
_space_group_symop_operation_xyz
'x,y,z'
'-x,-y,z'
'-x,y,z'
'x,-y,z'
loop_
_atom_site_label
_atom_site_type_symbol
_atom_site_fract_x
_atom_site_fract_y
_atom_site_fract_z
Ta1 Ta 0.000 0.000 0.000
Te1 Te 0.000 0.500 0.728
Te2 Te 0.500 0.000 0.287
W1 W 0.500 0.500 0.013

*iii*
# PBE TaTe2W, relaxed
# Magnetization = 0.00 μB/cell
# Mass density = 12.85 g cm⁻³
data_TaTe2W
_space_group_name_H-M_alt 'C 1 2/m 1'
_space_group_IT_number 12
_cell_length_a 8.820
_cell_length_b 3.273
_cell_length_c 5.686
_cell_angle_alpha 90.00
_cell_angle_beta 102.43
_cell_angle_gamma 90.00
loop_
_space_group_symop_operation_xyz
'x,y,z'
'-x,-y,-z'
'-x,y,-z'
'x,-y,z'
'x+1/2,y+1/2,z'
'-x+1/2,-y+1/2,-z'
'-x+1/2,y+1/2,-z'
'x+1/2,-y+1/2,z'
loop_
_atom_site_label
_atom_site_type_symbol
_atom_site_fract_x
_atom_site_fract_y
_atom_site_fract_z
Ta1 Ta 0.000 0.000 0.000
Te1 Te 0.248 0.000 0.746
W1 W 0.000 0.500 0.500

Best to worst by energy: *ii*, *iii*, *i*.